Na8PdPb2 | PBE | optimized geometry

Structure (CIF):
```
data_Na8PdPb2
_cell_length_a 9.215
_cell_length_b 9.215
_cell_length_c 6.743
_cell_angle_alpha 95.27
_cell_angle_beta 95.27
_cell_angle_gamma 32.77
_space_group_name_H-M_alt 'P 1'
_space_group_IT_number 1
_space_group_name_Hall 'P 1'
loop_
_atom_site_label
_atom_site_type_symbol
_atom_site_fract_x
_atom_site_fract_y
_atom_site_fract_z
Na1 Na 0.033 0.033 0.268
Na2 Na 0.156 0.156 0.675
Na3 Na 0.340 0.340 0.602
Na4 Na 0.409 0.409 0.088
Na5 Na 0.591 0.591 0.912
Na6 Na 0.660 0.660 0.398
Na7 Na 0.844 0.844 0.325
Na8 Na 0.967 0.967 0.732
Pd1 Pd 0.500 0.500 0.500
Pb1 Pb 0.221 0.221 0.139
Pb2 Pb 0.779 0.779 0.861
```

Properties
Energy relative to the lowest polymorph listed for this composition ... 0.000 eV per formula unit
Energy of formation from the pure elements ... -0.079 eV/atom
Final energy ... -2.18 eV/atom
Calculated volume ... 308.5 Å³/f.u.

Na3Pd2Pb4 | PBE | optimized geometry

Structure (CIF):
```
data_Na3Pd2Pb4
_cell_length_a 8.212
_cell_length_b 8.212
_cell_length_c 7.637
_cell_angle_alpha 101.39
_cell_angle_beta 101.39
_cell_angle_gamma 76.38
_space_group_name_H-M_alt 'P 1'
_space_group_IT_number 1
_space_group_name_Hall 'P 1'
loop_
_atom_site_label
_atom_site_type_symbol
_atom_site_fract_x
_atom_site_fract_y
_atom_site_fract_z
Na1 Na 0.046 0.954 0.750
Na2 Na 0.280 0.454 0.792
Na3 Na 0.454 0.280 0.292
Na4 Na 0.546 0.720 0.708
Na5 Na 0.720 0.546 0.208
Na6 Na 0.954 0.046 0.250
Pd1 Pd 0.094 0.347 0.417
Pd2 Pd 0.347 0.094 0.917
Pd3 Pd 0.653 0.906 0.083
Pd4 Pd 0.906 0.653 0.583
Pb1 Pb 0.059 0.304 0.037
Pb2 Pb 0.168 0.659 0.391
Pb3 Pb 0.304 0.059 0.537
Pb4 Pb 0.341 0.832 0.109
Pb5 Pb 0.659 0.168 0.891
Pb6 Pb 0.696 0.941 0.463
Pb7 Pb 0.832 0.341 0.609
Pb8 Pb 0.941 0.696 0.963
```

Properties
Energy relative to the lowest polymorph listed for this composition ... 0.319 eV per formula unit
Energy of formation from the pure elements ... -0.172 eV/atom
Final energy ... -3.41 eV/atom
Calculated volume ... 242.3 Å³/f.u.

NaPd2Pb2 | PBE | optimized geometry

Structure (CIF):
```
data_NaPd2Pb2
_cell_length_a 6.369
_cell_length_b 6.369
_cell_length_c 6.369
_cell_angle_alpha 134.87
_cell_angle_beta 134.87
_cell_angle_gamma 65.73
_space_group_name_H-M_alt 'P 1'
_space_group_IT_number 1
_space_group_name_Hall 'P 1'
loop_
_atom_site_label
_atom_site_type_symbol
_atom_site_fract_x
_atom_site_fract_y
_atom_site_fract_z
Na1 Na 0.000 0.000 0.000
Pd1 Pd 0.378 0.378 0.000
Pd2 Pd 0.622 0.622 0.000
Pb1 Pb 0.250 0.750 0.500
Pb2 Pb 0.750 0.250 0.500
```

Properties
Energy relative to the lowest polymorph listed for this composition ... 0.621 eV per formula unit
Energy of formation from the pure elements ... -0.124 eV/atom
Final energy ... -3.95 eV/atom
Calculated volume ... 127.8 Å³/f.u.

Na3Pd4Pb4 | PBE | optimized geometry

Structure (CIF):
```
data_Na3Pd4Pb4
_cell_length_a 8.803
_cell_length_b 8.803
_cell_length_c 8.803
_cell_angle_alpha 151.38
_cell_angle_beta 125.01
_cell_angle_gamma 63.15
_space_group_name_H-M_alt 'P 1'
_space_group_IT_number 1
_space_group_name_Hall 'P 1'
loop_
_atom_site_label
_atom_site_type_symbol
_atom_site_fract_x
_atom_site_fract_y
_atom_site_fract_z
Na1 Na 0.000 0.000 0.000
Na2 Na 0.388 0.888 0.500
Na3 Na 0.612 0.112 0.500
Pd1 Pd 0.223 0.223 0.000
Pd2 Pd 0.332 0.500 0.832
Pd3 Pd 0.668 0.500 0.168
Pd4 Pd 0.777 0.777 0.000
Pb1 Pb 0.037 0.335 0.702
Pb2 Pb 0.367 0.665 0.702
Pb3 Pb 0.633 0.335 0.298
Pb4 Pb 0.963 0.665 0.298
```

Properties
Energy of formation from the pure elements ... -0.214 eV/atom
Final energy ... -3.81 eV/atom
Calculated volume ... 265.2 Å³/f.u.

NaPd5Pb2 | PBE | optimized geometry

Structure (CIF):
```
data_NaPd5Pb2
_cell_length_a 6.989
_cell_length_b 6.989
_cell_length_c 6.989
_cell_angle_alpha 147.63
_cell_angle_beta 113.72
_cell_angle_gamma 75.70
_space_group_name_H-M_alt 'P 1'
_space_group_IT_number 1
_space_group_name_Hall 'P 1'
loop_
_atom_site_label
_atom_site_type_symbol
_atom_site_fract_x
_atom_site_fract_y
_atom_site_fract_z
Na1 Na 0.000 0.000 0.000
Pd1 Pd 0.180 0.372 0.808
Pd2 Pd 0.435 0.628 0.808
Pd3 Pd 0.500 0.000 0.500
Pd4 Pd 0.565 0.372 0.192
Pd5 Pd 0.820 0.628 0.192
Pb1 Pb 0.246 0.746 0.500
Pb2 Pb 0.754 0.254 0.500
```

Properties
Energy of formation from the pure elements ... -0.171 eV/atom
Final energy ... -4.51 eV/atom
Calculated volume ... 164.3 Å³/f.u.

Na2Pd2Pb5 | PBE | optimized geometry

Structure (CIF):
```
data_Na2Pd2Pb5
_cell_length_a 7.738
_cell_length_b 7.738
_cell_length_c 9.857
_cell_angle_alpha 127.09
_cell_angle_beta 127.09
_cell_angle_gamma 35.28
_space_group_name_H-M_alt 'P 1'
_space_group_IT_number 1
_space_group_name_Hall 'P 1'
loop_
_atom_site_label
_atom_site_type_symbol
_atom_site_fract_x
_atom_site_fract_y
_atom_site_fract_z
Na1 Na 0.112 0.112 0.325
Na2 Na 0.888 0.888 0.675
Pd1 Pd 0.434 0.434 0.211
Pd2 Pd 0.566 0.566 0.789
Pb1 Pb 0.174 0.174 0.012
Pb2 Pb 0.370 0.370 0.426
Pb3 Pb 0.500 0.500 0.000
Pb4 Pb 0.630 0.630 0.574
Pb5 Pb 0.826 0.826 0.988
```

Properties
Energy of formation from the pure elements ... -0.063 eV/atom
Final energy ... -3.57 eV/atom
Calculated volume ... 264.0 Å³/f.u.